[1]
A relaxed structure of Y5Hg4Pd, computed with PBE.

The structure in CIF format:
```
data_Y5Hg4Pd
_chemical_formula_sum 'Y5 Hg4 Pd1'
_cell_length_a 3.678
_cell_length_b 3.678
_cell_length_c 18.488
_cell_angle_alpha 90.00
_cell_angle_beta 90.00
_cell_angle_gamma 90.00
_symmetry_space_group_name_H-M 'P 4/m m m'
_symmetry_Int_Tables_number 123
_symmetry_space_group_name_Hall '-P 4 2'
loop_
_atom_site_label
_atom_site_fract_x
_atom_site_fract_y
_atom_site_fract_z
Y1 0.000 0.000 0.000
Y2 0.000 0.000 0.205
Y3 0.000 0.000 0.409
Hg1 0.500 0.500 0.103
Hg2 0.500 0.500 0.305
Pd1 0.500 0.500 0.500
```

Calculated values
M_tot: 0.01 μB per formula unit
Uncorrected energy: -4.450 eV per atom
Crystal system: tetragonal

=====

[2]
A relaxed structure of Pr6CuN3, computed with PBE.

The structure in CIF format:
```
data_Pr6CuN3
_chemical_formula_sum 'Pr12 Cu2 N6'
_cell_length_a 11.348
_cell_length_b 3.676
_cell_length_c 12.512
_cell_angle_alpha 90.00
_cell_angle_beta 113.41
_cell_angle_gamma 90.00
_symmetry_space_group_name_H-M 'P 1 21/m 1'
_symmetry_Int_Tables_number 11
loop_
_symmetry_equiv_pos_as_xyz
'x,y,z'
'-x,-y,-z'
'-x,y+1/2,-z'
'x,-y+1/2,z'
loop_
_atom_site_label
_atom_site_fract_x
_atom_site_fract_y
_atom_site_fract_z
Pr1 0.032 0.250 0.277
Pr2 0.144 0.250 0.580
Pr3 0.158 0.750 0.108
Pr4 0.312 0.750 0.418
Pr5 0.357 0.750 0.923
Pr6 0.457 0.250 0.231
Cu1 0.141 0.250 0.916
N1 0.090 0.750 0.435
N2 0.253 0.250 0.268
N3 0.490 0.250 0.877
```

Calculated values
Formation energy (no corrections): -707 meV per atom
M_tot: 0.87 μB per formula unit
Uncorrected energy: -6.482 eV per atom
Crystal system: monoclinic

=====

[3]
A relaxed structure of CsRbCrI6, computed with PBE.

The structure in CIF format:
```
data_CsRbCrI6
_chemical_formula_sum 'Cs2 Rb2 Cr2 I12'
_cell_length_a 8.872
_cell_length_b 15.381
_cell_length_c 6.966
_cell_angle_alpha 90.00
_cell_angle_beta 90.04
_cell_angle_gamma 90.00
_symmetry_space_group_name_H-M 'C 1 2 1'
_symmetry_Int_Tables_number 5
loop_
_symmetry_equiv_pos_as_xyz
'x,y,z'
'-x,y,-z'
'x+1/2,y+1/2,z'
'-x+1/2,y+1/2,-z'
loop_
_atom_site_label
_atom_site_fract_x
_atom_site_fract_y
_atom_site_fract_z
Cs1 0.000 0.000 0.000
Rb1 0.000 0.333 0.500
Cr1 0.000 0.667 0.500
I1 0.124 0.540 0.273
I2 0.127 0.792 0.273
I3 0.247 0.167 0.274
```

Calculated values
Formation energy (no corrections): -748 meV per atom
M_tot: 1.86 μB per formula unit
Uncorrected energy: -3.053 eV per atom
Crystal system: monoclinic

=====

[4]
A relaxed structure of Ac2BiPt, computed with PBE.

The structure in CIF format:
```
data_Ac2BiPt
_chemical_formula_sum 'Ac8 Bi4 Pt4'
_cell_length_a 7.988
_cell_length_b 7.988
_cell_length_c 7.988
_cell_angle_alpha 90.00
_cell_angle_beta 90.00
_cell_angle_gamma 90.00
_symmetry_space_group_name_H-M 'F m -3 m'
_symmetry_Int_Tables_number 225
_symmetry_space_group_name_Hall '-F 4 2 3'
loop_
_atom_site_label
_atom_site_fract_x
_atom_site_fract_y
_atom_site_fract_z
Ac1 0.250 0.250 0.250
Bi1 0.000 0.000 0.000
Pt1 0.000 0.000 0.500
```

Calculated values
M_tot: 0.38 μB per formula unit
Offset from the most stable computed form: 170.5 meV/atom
Uncorrected energy: -5.289 eV per atom
Crystal system: cubic

=====

[5]
A relaxed structure of Tl2IrOs, computed with PBE.

The structure in CIF format:
```
data_Tl2IrOs
_chemical_formula_sum 'Tl2 Ir1 Os1'
_cell_length_a 4.666
_cell_length_b 4.666
_cell_length_c 3.357
_cell_angle_alpha 90.00
_cell_angle_beta 90.00
_cell_angle_gamma 90.00
_symmetry_space_group_name_H-M 'P 4/m m m'
_symmetry_Int_Tables_number 123
_symmetry_space_group_name_Hall '-P 4 2'
loop_
_atom_site_label
_atom_site_fract_x
_atom_site_fract_y
_atom_site_fract_z
Tl1 0.000 0.500 0.000
Ir1 0.000 0.000 0.500
Os1 0.500 0.500 0.500
```

Calculated values
M_tot: 0.00 μB per formula unit
Offset from the most stable computed form: 393.0 meV/atom
Uncorrected energy: -5.298 eV per atom
Crystal system: tetragonal

=====

[6]
A relaxed structure of MgGaB, computed with PBE.

The structure in CIF format:
```
data_MgGaB
_chemical_formula_sum 'Mg4 Ga4 B4'
_cell_length_a 12.330
_cell_length_b 3.094
_cell_length_c 5.049
_cell_angle_alpha 90.00
_cell_angle_beta 92.42
_cell_angle_gamma 90.00
_symmetry_space_group_name_H-M 'C 1 m 1'
_symmetry_Int_Tables_number 8
loop_
_symmetry_equiv_pos_as_xyz
'x,y,z'
'x,-y,z'
'x+1/2,y+1/2,z'
'x+1/2,-y+1/2,z'
loop_
_atom_site_label
_atom_site_fract_x
_atom_site_fract_y
_atom_site_fract_z
Mg1 0.000 0.000 0.000
Mg2 0.174 0.500 0.641
Ga1 0.271 0.000 0.089
Ga2 0.366 0.000 0.593
B1 0.015 0.500 0.375
B2 0.025 0.000 0.475
```

Calculated values
M_tot: 0.00 μB per formula unit
Uncorrected energy: -3.637 eV per atom
Crystal system: monoclinic

=====

Question: uncorrected energy of number 3 (CsRbCrI6)?
Answer: -3.053 eV per atom

=====

Question: Which value of uncorrected energy does entry 2 give?
Answer: -6.482 eV per atom

=====

Question: Among the records above, which one has the highest M_tot?
Answer: CsRbCrI6

=====

Question: Look up the uncorrected energy of the sixth one.
Answer: -3.637 eV per atom